[1]
VASP calculation (PBE) on a relaxed RbLi2UI6 crystal.

Size of the total moment, Bohr magnetons per cell: 12.000
E_form (uncorrected), eV per atom: -1.0821

Lattice parameters (Å, degrees): 16.2162 14.5456 9.0149 90.00 114.61 90.00
Closest atoms and distances in Å follow each position.
Space group C2/c (No. 15)
Asymmetric unit:
Rb1 0.0000 0.0884 0.2500  6 I 3.59-3.77
Li1 0.1934 0.4286 0.1033  4 I 2.73-2.88
U1 0.0000 0.2753 0.7500  6 I 3.11-3.20
I1 0.0997 0.2779 0.1280  1 Li 2.73
I2 0.1224 0.1145 0.7065  1 Li 2.83
I3 0.1457 0.4254 0.7681  2 Li 2.79-2.88

---

[2]
VASP calculation (PBE) on a relaxed NaAc4La crystal.

Energy relative to the elements, eV/atom: 0.36
Size of the total moment, Bohr magnetons per cell: 0.021

Lattice parameters (Å, degrees): 10.4123 10.4123 10.4123 90.00 90.00 90.00
Closest atoms and distances in Å follow each position.
Space group F-43m (No. 216)
Asymmetric unit:
Na1 0.0000 0.0000 0.0000  12 Ac 4.32, 4 La 4.51
Ac1 0.1237 0.1237 0.3763  6 Ac 3.64-3.72
La1 0.2500 0.2500 0.7500  12 Ac 4.31, 4 Na 4.51

---

[3]
VASP calculation (PBE) on a relaxed CrCdNi2Os crystal.

Energy relative to the elements, eV/atom: 1.72
Size of the total moment, Bohr magnetons per cell: 4.155

Lattice parameters (Å, degrees): 4.1925 4.1925 4.8401 90.00 90.00 90.00
Closest atoms and distances in Å follow each position.
Space group P4/mmm (No. 123)
Asymmetric unit:
Cr1 0.0000 0.0000 0.0000  4 Ni 2.10
Cd1 0.0000 0.0000 0.5000  2 Cr 2.42
Ni1 0.0000 0.5000 0.0000  2 Cr 2.10
Os1 0.5000 0.5000 0.5000  4 Cd 2.96, 8 Ni 3.20

---

[4]
VASP calculation (PBE) on a relaxed Ca2TlP crystal.

Relative energy among the computed polymorphs, eV/atom: 0.410
Energy relative to the elements, eV/atom: -0.26
Size of the total moment, Bohr magnetons per cell: 0.000

Lattice parameters (Å, degrees): 5.3775 5.3866 8.0071 90.00 90.00 90.00
Closest atoms and distances in Å follow each position.
Space group Cmm2 (No. 35)
Asymmetric unit:
Ca1 0.0000 0.0000 0.0000  4 Tl 3.29-3.30, 1 P 3.31
Ca2 0.0000 0.5000 0.3864  1 Tl 3.01, 4 P 3.13-3.14
Tl1 0.0000 0.5000 0.7626  5 Ca 3.01-3.30, 4 P 3.03-3.04
P1 0.0000 0.0000 0.5871  4 Tl 3.03-3.04, 5 Ca 3.13-3.31

---

[5]
VASP calculation (PBE) on a relaxed CsAcMgSe3 crystal.

Size of the total moment, Bohr magnetons per cell: 0.000
E_form (uncorrected), eV per atom: -1.6062

Lattice parameters (Å, degrees): 10.0751 4.5567 10.6085 90.00 106.22 90.00
Closest atoms and distances in Å follow each position.
Space group P2_1/m (No. 11)
Asymmetric unit:
Cs1 0.1953 0.2500 0.2232  7 Se 3.72-4.05
Ac1 0.3357 0.7500 0.8522  6 Se 3.08-3.30
Mg1 0.0812 0.2500 0.6046  4 Se 2.54-2.67
Se1 0.1223 0.2500 0.8520  1 Mg 2.54
Se2 0.1784 0.7500 0.5343  3 Mg 2.62-2.67
Se3 0.4570 0.7500 0.1524  3 Ac 3.08-3.10

---

[6]
VASP calculation (PBE) on a relaxed PmSmInPb crystal.

Relative energy among the computed polymorphs, eV/atom: 0.000
Energy relative to the elements, eV/atom: -0.49
Size of the total moment, Bohr magnetons per cell: 0.000

Lattice parameters (Å, degrees): 5.0630 5.0630 9.0218 90.00 90.00 90.00
Closest atoms and distances in Å follow each position.
Space group I-4m2 (No. 119)
Asymmetric unit:
Pm1 0.0000 0.0000 0.0000  4 In 3.39, 4 Pb 3.39, 4 Sm 3.58
Sm1 0.0000 0.0000 0.5000  4 In 3.39, 4 Pb 3.39, 4 Pm 3.58
In1 0.0000 0.5000 0.7500  4 Pm 3.39, 4 Sm 3.39, 4 Pb 3.58
Pb1 0.0000 0.5000 0.2500  4 Pm 3.39, 4 Sm 3.39, 4 In 3.58

---

[7]
VASP calculation (PBE) on a relaxed La6Ir2OsI3 crystal.

Size of the total moment, Bohr magnetons per cell: 0.000
E_form (uncorrected), eV per atom: -0.9747

Lattice parameters (Å, degrees): 7.3643 12.7558 8.5880 90.00 106.59 90.00
Closest atoms and distances in Å follow each position.
Space group C2/m (No. 12)
Asymmetric unit:
La1 0.2258 0.1644 0.1845  1 Os 2.86, 2 Ir 2.90
La2 0.2328 0.5000 0.1846  1 Os 2.86, 2 Ir 2.90
Ir1 0.0000 0.3333 0.0000  6 La 2.90
Os1 0.0000 0.0000 0.0000  6 La 2.86
I1 0.0000 0.1664 0.5000  6 La 3.56-3.60
I2 0.0000 0.5000 0.5000  6 La 3.56-3.60

---

[8]
VASP calculation (PBE) on a relaxed Li2PIr2 crystal.

Energy relative to the elements, eV/atom: -0.47
Size of the total moment, Bohr magnetons per cell: 0.000

Lattice parameters (Å, degrees): 5.9166 5.9166 4.3729 90.00 90.00 90.00
Closest atoms and distances in Å follow each position.
Space group P4/mbm (No. 127)
Asymmetric unit:
Li1 0.1600 0.3400 0.0000  1 Li 2.68, 6 Ir 2.69-2.86
P1 0.0000 0.0000 0.5000  4 Ir 2.25
Ir1 0.1521 0.6521 0.5000  2 P 2.25

---

[9]
VASP calculation (PBE) on a relaxed Zr2TaSb crystal.

Size of the total moment, Bohr magnetons per cell: 0.000
E_form (uncorrected), eV per atom: -0.1700

Lattice parameters (Å, degrees): 3.9025 4.7615 9.1295 90.00 90.00 90.00
Closest atoms and distances in Å follow each position.
Space group Immm (No. 71)
Asymmetric unit:
Zr1 0.0000 0.0000 0.2423  2 Ta 2.95, 4 Sb 3.06-3.25, 4 Zr 3.08
Ta1 0.0000 0.5000 0.5000  4 Zr 2.95, 4 Sb 3.08
Sb1 0.0000 0.5000 0.0000  8 Zr 3.06-3.25, 4 Ta 3.08

---

[10]
VASP calculation (PBE) on a relaxed Hg2P2H4O9 crystal.

Raw total energy, eV/f.u.: -92.599
Size of the total moment, Bohr magnetons per cell: 0.000

Lattice parameters (Å, degrees): 7.1488 7.5594 8.0507 84.64 75.00 72.88
Closest atoms and distances in Å follow each position.
Space group P-1 (No. 2)
Asymmetric unit:
Hg1 0.1951 0.2223 0.0288  3 O 2.20-2.42
Hg2 0.2550 0.6449 0.2619  2 O 2.17-2.20
P1 0.2214 0.5400 0.6920  4 O 1.53-1.63
P2 0.3352 0.7944 0.8637  4 O 1.51-1.63
H1 0.1860 0.2794 0.5200  1 O 0.99
H2 0.1990 0.1077 0.6488  1 O 0.99
H3 0.2161 0.0421 0.3808  1 O 1.01
H4 0.4284 0.9667 0.2505  1 O 0.99
O1 0.0075 0.4230 0.2295  1 P 1.54
O2 0.1324 0.1712 0.5570  2 H 0.99
O3 0.1699 0.7645 0.0229  1 P 1.55
O4 0.2730 0.4905 0.5011  1 P 1.54
O5 0.2757 0.7342 0.6990  2 P 1.63
O6 0.2834 0.9748 0.2687  2 H 0.99-1.01
O7 0.3155 0.0043 0.8238  1 P 1.56
O8 0.3508 0.3902 0.7883  1 P 1.53
O9 0.4516 0.3157 0.1328  1 P 1.51

---

[11]
VASP calculation (PBE) on a relaxed Tm2Mg2Ni15 crystal.

Energy relative to the elements, eV/atom: -0.24
Size of the total moment, Bohr magnetons per cell: 11.673

Lattice parameters (Å, degrees): 8.3369 8.3369 12.2956 90.00 90.00 120.00
Closest atoms and distances in Å follow each position.
Space group R-3m (No. 166, hexagonal axes)
Asymmetric unit:
Tm1 0.0000 0.0000 0.1479  15 Ni 2.91-3.25, 1 Mg 3.06
Mg1 0.0000 0.0000 0.3966  6 Ni 2.53-2.60, 1 Mg 2.54
Ni1 0.0000 0.3051 0.5000  8 Ni 2.42-2.54
Ni2 0.0000 0.5000 0.0000  8 Ni 2.42-2.43, 2 Mg 2.53
Ni3 0.0045 0.5022 0.6558  8 Ni 2.39-2.54, 1 Mg 2.60